No. 1
VASP calculation (PBE) on crystalline ZrTlSb at its relaxed geometry.

**Raw formation energy**: -0.04 eV per atom
**Space-group type**: No. 42

Cell lengths 8.0310, 7.8916, 3.2729 Å; angles 80.54, 75.76, 23.70 degrees
Closest atoms and distances in Å follow each position.
Fractional positions:
1 Sb 0.9769 0.9769 0.0231  2 Zr 2.95, 4 Sb 3.27
2 Tl 0.6848 0.6848 0.3152  4 Zr 3.12-3.45, 4 Tl 3.27
3 Zr 0.3382 0.3382 0.6618  2 Sb 2.95, 2 Tl 3.12, 4 Zr 3.27

No. 2
VASP calculation (PBE) on crystalline ZrTl2Sb at its relaxed geometry.

**Raw formation energy**: 0.20 eV per atom
**Space-group type**: No. 123

Cell lengths 3.2645, 3.2645, 9.6969 Å; angles 90.00, 90.00, 90.00 degrees
Closest atoms and distances in Å follow each position.
Fractional positions:
1 Sb 0.5000 0.5000 0.7500  4 Sb 3.26, 8 Tl 3.48
2 Tl 0.0000 0.0000 0.0186  4 Zr 3.22, 4 Tl 3.26, 4 Sb 3.48
3 Tl 0.0000 0.0000 0.4814  4 Zr 3.22, 4 Tl 3.26, 4 Sb 3.48
4 Zr 0.5000 0.5000 0.2500  8 Tl 3.22, 4 Zr 3.26

no.,DOS(E_F) (states/eV/cell)
1,2.843
2,4.042